## MnCrPb (PBE)

Data for crystalline MnCrPb at its relaxed geometry.

Computed properties:
Fermi-level density of states: 2.74 states/eV/f.u.
Formation energy: 777.4 meV/atom
Calculated volume: 59 Å³/f.u.
E: -6.723 eV/atom
Crystal system: trigonal

Unit cell a=4.6007 b=4.6007 c=3.1984 alpha=90.00 beta=90.00 gamma=120.00
With the nearest neighbours (Å) after each atom.
Positions (direct):
Mn: 0.0000 0.0000 0.0000  3 Pb 2.81, 3 Cr 2.97
Cr: 0.6667 0.3333 0.5823  3 Pb 2.82, 3 Mn 2.97
Pb: 0.3333 0.6667 0.2857  3 Mn 2.81, 3 Cr 2.82

---

## MnCrPb (PBE)

Data for crystalline MnCrPb at its relaxed geometry.

Computed properties:
Fermi-level density of states: 2.69 states/eV/f.u.
Formation energy: 483.7 meV/atom
Calculated volume: 56 Å³/f.u.
E: -7.017 eV/atom
Crystal system: monoclinic

Unit cell a=5.9855 b=5.9855 c=3.1337 alpha=98.48 beta=98.48 gamma=30.52
With the nearest neighbours (Å) after each atom.
Positions (direct):
Mn: 0.0000 0.0000 0.0000  4 Cr 2.51-2.54
Cr: 0.3951 0.3951 0.4488  4 Mn 2.51-2.54
Pb: 0.6962 0.6962 0.7295  2 Mn 2.99, 2 Cr 3.03, 4 Pb 3.13-3.15

---

## MnCrPb (PBE)

Data for crystalline MnCrPb at its relaxed geometry.

Computed properties:
Fermi-level density of states: 2.63 states/eV/f.u.
Formation energy: 562.8 meV/atom
Calculated volume: 61 Å³/f.u.
E: -6.938 eV/atom
Crystal system: cubic

Unit cell a=4.4072 b=4.4072 c=4.4072 alpha=60.00 beta=60.00 gamma=60.00
With the nearest neighbours (Å) after each atom.
Positions (direct):
Mn: 0.0000 0.0000 0.0000  4 Cr 2.70, 4 Pb 2.70
Cr: 0.7500 0.7500 0.7500  4 Mn 2.70
Pb: 0.2500 0.2500 0.2500  4 Mn 2.70

---

- Which of these has the lowest formation energy?
  number 2

---

- The highest formation energy belongs to which entry?
  number 1

---

- calculated volume of number 3 (MnCrPb)?
  61 Å³/f.u.